No. 1
The following is a DFT calculation (PBE) of ReBiF2 after structural relaxation.

```
ReBiF2
1.0
-2.031 2.031 8.089
2.031 -2.031 8.089
2.031 2.031 -8.089
Re Bi F
2 2 4
direct
0.000 0.000 0.000 Re
0.750 0.250 0.500 Re
0.250 0.750 0.500 Bi
0.500 0.500 0.000 Bi
0.065 0.625 0.940 F
0.375 0.315 0.440 F
0.685 0.125 0.060 F
0.875 0.935 0.560 F
```

Properties
Polymorph energy (0 for the lowest one)   0.4275 eV per atom
Spin magnetization   4.3 μB per cell
Raw total energy   -5.295 eV per atom
Uncorrected formation energy   -1.11 eV/f.u.


No. 2
The following is a DFT calculation (PBE) of Zn2CoRe after structural relaxation.

```
Zn2CoRe
1.0
1.457 -2.197 0.000
1.457 2.197 0.000
0.000 0.000 8.638
Zn Co Re
2 1 1
direct
0.000 0.000 0.000 Zn
0.500 0.500 0.265 Zn
0.500 0.500 0.764 Co
0.000 0.000 0.530 Re
```

Properties
Polymorph energy (0 for the lowest one)   0.1441 eV per atom
Spin magnetization   1.3 μB per cell
Energy relative to the elements   0.6 eV/f.u.
Raw total energy   -5.364 eV per atom


No. 3
The following is a DFT calculation (PBE) of Ac3CuAu3 after structural relaxation.

```
Ac3CuAu3
1.0
-2.122 2.337 10.153
2.122 -2.337 10.153
2.122 2.337 -10.153
Ac Cu Au
3 1 3
direct
0.000 0.000 0.000 Ac
0.360 0.360 0.000 Ac
0.681 0.181 0.500 Ac
0.247 0.747 0.500 Cu
0.121 0.621 0.500 Au
0.527 0.527 0.000 Au
0.819 0.819 0.000 Au
```

Properties
Spin magnetization   0.0 μB per cell
Energy relative to the elements   -4.8 eV/f.u.
Raw total energy   -4.440 eV per atom


No. 4
The following is a DFT calculation (PBE) of Nd2HoLu after structural relaxation.

```
Nd2HoLu
1.0
3.607 0.000 0.000
0.000 3.607 0.000
0.000 0.000 10.014
Nd Ho Lu
2 1 1
direct
0.000 0.000 0.248 Nd
0.000 0.000 0.752 Nd
0.500 0.500 0.500 Ho
0.500 0.500 0.000 Lu
```

Properties
Polymorph energy (0 for the lowest one)   0.0055 eV per atom
Spin magnetization   0.0 μB per cell
Energy relative to the elements   0.1 eV/f.u.
Raw total energy   -4.635 eV per atom